# 1
Compound: InSb2Au
Source: Alexandria
Functional: PBE-GGA
Structure: optimized geometry

```
data_InSb2Au
_cell_length_a 5.169
_cell_length_b 5.169
_cell_length_c 5.172
_cell_angle_alpha 69.77
_cell_angle_beta 69.77
_cell_angle_gamma 108.00
_space_group_name_H-M_alt 'P 1'
_space_group_IT_number 1
loop_
_space_group_symop_operation_xyz
'x,y,z'
loop_
_atom_site_label
_atom_site_type_symbol
_atom_site_fract_x
_atom_site_fract_y
_atom_site_fract_z
Sb1 Sb 0.500 0.500 0.000
Sb2 Sb 0.000 0.000 0.000
In1 In 0.000 0.500 0.500
Au1 Au 0.500 0.000 0.500
```

Results
theoretical density = 8.7 Mg/m³
ΔE_f (raw) = 0.014 eV per atom
space-group type = I4/mmm (139)


# 2
Compound: ZrBOsRu2
Source: Alexandria
Functional: PBE-GGA
Structure: optimized geometry

```
data_ZrBOsRu2
_cell_length_a 4.140
_cell_length_b 4.140
_cell_length_c 4.149
_cell_angle_alpha 90.00
_cell_angle_beta 90.00
_cell_angle_gamma 90.00
_space_group_name_H-M_alt 'P 1'
_space_group_IT_number 1
loop_
_space_group_symop_operation_xyz
'x,y,z'
loop_
_atom_site_label
_atom_site_type_symbol
_atom_site_fract_x
_atom_site_fract_y
_atom_site_fract_z
B1 B 0.000 0.000 0.000
Zr1 Zr 0.500 0.500 0.500
Ru1 Ru 0.000 0.500 0.000
Ru2 Ru 0.500 0.000 0.000
Os1 Os 0.000 0.000 0.500
```

Results
E_form = -0.4060 eV per atom
theoretical density = 11.5 Mg/m³
excess energy over the best structure of this formula in the dataset = 0.0000 eV/atom
space-group type = P4/mmm (123)


# 3
Compound: Tb2Ho7Tm3
Source: Alexandria
Functional: PBE-GGA
Structure: optimized geometry

```
data_Tb2Ho7Tm3
_cell_length_a 3.477
_cell_length_b 6.255
_cell_length_c 17.654
_cell_angle_alpha 75.58
_cell_angle_beta 90.00
_cell_angle_gamma 90.00
_space_group_name_H-M_alt 'P 1'
_space_group_IT_number 1
loop_
_space_group_symop_operation_xyz
'x,y,z'
loop_
_atom_site_label
_atom_site_type_symbol
_atom_site_fract_x
_atom_site_fract_y
_atom_site_fract_z
Ho1 Ho 0.000 0.000 0.000
Ho2 Ho 0.500 0.942 0.832
Ho3 Ho 0.500 0.058 0.168
Ho4 Ho 0.500 0.243 0.502
Ho5 Ho 0.000 0.440 0.835
Ho6 Ho 0.500 0.757 0.498
Ho7 Ho 0.000 0.560 0.165
Tb1 Tb 0.500 0.611 0.327
Tb2 Tb 0.500 0.389 0.673
Tm1 Tm 0.000 0.893 0.657
Tm2 Tm 0.500 0.500 0.000
Tm3 Tm 0.000 0.107 0.343
```

Results
E_form = 0.0780 eV per atom
theoretical density = 8.8 Mg/m³
excess energy over the best structure of this formula in the dataset = 0.0000 eV/atom
space-group type = P2/m (10)


# 4
Compound: CrSbSe2
Source: Alexandria
Functional: PBE-GGA
Structure: optimized geometry

```
data_CrSbSe2
_cell_length_a 7.208
_cell_length_b 7.208
_cell_length_c 7.208
_cell_angle_alpha 148.96
_cell_angle_beta 148.96
_cell_angle_gamma 44.48
_space_group_name_H-M_alt 'P 1'
_space_group_IT_number 1
loop_
_space_group_symop_operation_xyz
'x,y,z'
loop_
_atom_site_label
_atom_site_type_symbol
_atom_site_fract_x
_atom_site_fract_y
_atom_site_fract_z
Sb1 Sb 0.750 0.250 0.500
Se1 Se 0.000 0.000 0.000
Se2 Se 0.250 0.750 0.500
Cr1 Cr 0.500 0.500 0.000
```

Results
theoretical density = 5.5 Mg/m³
excess energy over the best structure of this formula in the dataset = 0.5095 eV/atom
ΔE_f (raw) = 0.193 eV per atom
space-group type = I-4m2 (119)


# 5
Compound: HgMo4Br7
Source: Alexandria
Functional: PBE-GGA
Structure: optimized geometry

```
data_HgMo4Br7
_cell_length_a 3.319
_cell_length_b 12.031
_cell_length_c 21.121
_cell_angle_alpha 90.00
_cell_angle_beta 90.00
_cell_angle_gamma 91.08
_space_group_name_H-M_alt 'P 1'
_space_group_IT_number 1
loop_
_space_group_symop_operation_xyz
'x,y,z'
loop_
_atom_site_label
_atom_site_type_symbol
_atom_site_fract_x
_atom_site_fract_y
_atom_site_fract_z
Hg1 Hg 0.498 0.051 0.000
Hg2 Hg 0.945 0.949 0.500
Mo1 Mo 0.965 0.614 0.159
Mo2 Mo 0.540 0.478 0.885
Mo3 Mo 0.478 0.386 0.341
Mo4 Mo 0.965 0.614 0.841
Mo5 Mo 0.540 0.478 0.115
Mo6 Mo 0.903 0.522 0.385
Mo7 Mo 0.903 0.522 0.615
Mo8 Mo 0.478 0.386 0.659
Br1 Br 0.484 0.692 0.417
Br2 Br 0.909 0.442 0.500
Br3 Br 0.484 0.363 0.224
Br4 Br 0.987 0.779 0.905
Br5 Br 0.455 0.221 0.405
Br6 Br 0.959 0.637 0.724
Br7 Br 0.484 0.692 0.583
Br8 Br 0.959 0.308 0.917
Br9 Br 0.484 0.363 0.776
Br10 Br 0.987 0.779 0.095
Br11 Br 0.959 0.308 0.083
Br12 Br 0.959 0.637 0.276
Br13 Br 0.455 0.221 0.595
Br14 Br 0.533 0.558 0.000
```

Results
theoretical density = 4.5 Mg/m³
ΔE_f (raw) = -0.096 eV per atom
space-group type = P2_1/m (11)


# 6
Compound: ScZn2As
Source: Alexandria
Functional: PBE-GGA
Structure: optimized geometry

```
data_ScZn2As
_cell_length_a 5.215
_cell_length_b 5.215
_cell_length_c 5.215
_cell_angle_alpha 134.98
_cell_angle_beta 135.06
_cell_angle_gamma 65.50
_space_group_name_H-M_alt 'P 1'
_space_group_IT_number 1
loop_
_space_group_symop_operation_xyz
'x,y,z'
loop_
_atom_site_label
_atom_site_type_symbol
_atom_site_fract_x
_atom_site_fract_y
_atom_site_fract_z
Zn1 Zn 0.000 0.000 0.000
Zn2 Zn 0.751 0.251 0.500
Sc1 Sc 0.249 0.749 0.500
As1 As 0.500 0.500 0.000
```

Results
E_form = -0.3473 eV per atom
theoretical density = 6.0 Mg/m³
space-group type = Imm2 (44)